# 1
Compound: Li6CuPd
Source: OQMD via LeMat-Bulk
Functional: GGA-PBE
Structure: relaxed

The space group is P4/mmm (No. 123) and the conventional cell measures 4.303, 4.303 and 6.086 Å, with angles of 90.00, 90.00 and 90.00 degrees. The asymmetric unit holds Li at (0.000, 0.000, 0.000), Li at (0.000, 0.500, 0.246), Li at (0.500, 0.500, 0.500), Cu at (0.000, 0.000, 0.500) and Pd at (0.500, 0.500, 0.000).

The uncorrected energy comes out at -2.690 eV/atom. The mass density is 3.12 Mg/m³.

# 2
Compound: LiCuPd2
Source: OQMD via LeMat-Bulk
Functional: GGA-PBE
Structure: relaxed

The space group is P6_3/mmc (No. 194) and the conventional cell measures 4.2081, 4.2081 and 7.7789 Å, with angles of 90.00, 90.00 and 120.00 degrees. The asymmetric unit holds Li at (0.0000, 0.0000, 0.0000), Cu at (0.3333, 0.6667, 0.2500) and Pd at (0.3333, 0.6667, 0.5857).

The uncorrected energy comes out at -4.128 eV/atom. The calculation puts the excess energy over the best structure of this formula in the dataset at 184 meV per atom. The mass density is 7.89 Mg/m³.

# 3
Compound: LiCuPd2
Source: OQMD via LeMat-Bulk
Functional: GGA-PBE
Structure: relaxed

The space group is P4/mmm (No. 123) and the conventional cell measures 4.244, 4.244 and 2.989 Å, with angles of 90.00, 90.00 and 90.00 degrees. The asymmetric unit holds Li at (0.000, 0.000, 0.000), Cu at (0.500, 0.500, 0.000) and Pd at (0.000, 0.500, 0.500).

The uncorrected energy comes out at -4.312 eV/atom. The calculation puts the excess energy over the best structure of this formula in the dataset at 0 meV per atom. The mass density is 8.74 Mg/m³.

# 4
Compound: LiCu3PdS4
Source: OQMD via LeMat-Bulk
Functional: GGA-PBE
Structure: relaxed

The space group is P-43m (No. 215) and the conventional cell measures 5.454, 5.454 and 5.454 Å, with angles of 90.00, 90.00 and 90.00 degrees. The asymmetric unit holds Li at (0.000, 0.000, 0.000), Cu at (0.000, 0.500, 0.500), Pd at (0.500, 0.500, 0.500) and S at (0.249, 0.249, 0.249).

The uncorrected energy comes out at -4.099 eV/atom. The mass density is 4.43 Mg/m³.

# 5
Compound: LiCuPdS3
Source: OQMD via LeMat-Bulk
Functional: GGA-PBE
Structure: relaxed

The space group is Cmcm (No. 63) and the conventional cell measures 3.591, 11.446 and 9.486 Å, with angles of 90.00, 90.00 and 90.00 degrees. The asymmetric unit holds Li at (0.000, 0.241, 0.250), Cu at (0.000, 0.051, 0.750), Pd at (0.000, 0.500, 0.000), S at (0.000, 0.142, 0.539) and S at (0.000, 0.423, 0.750).

The uncorrected energy comes out at -4.231 eV/atom. The mass density is 4.65 Mg/m³.

# 6
Compound: LiCuPdSeS2
Source: OQMD via LeMat-Bulk
Functional: GGA-PBE
Structure: relaxed

The space group is Cmcm (No. 63) and the conventional cell measures 3.579, 11.893 and 9.732 Å, with angles of 90.00, 90.00 and 90.00 degrees. The asymmetric unit holds Li at (0.000, 0.240, 0.250), Cu at (0.000, 0.446, 0.750), Pd at (0.000, 0.000, 0.000), Se at (0.000, 0.086, 0.750) and S at (0.000, 0.364, 0.542).

The uncorrected energy comes out at -4.117 eV/atom. The mass density is 5.13 Mg/m³.

# 7
Compound: LiCuTe2PdS
Source: OQMD via LeMat-Bulk
Functional: GGA-PBE
Structure: relaxed

The space group is Cmcm (No. 63) and the conventional cell measures 3.848, 12.841 and 10.034 Å, with angles of 90.00, 90.00 and 90.00 degrees. The asymmetric unit holds Li at (0.000, 0.196, 0.250), Cu at (0.000, 0.036, 0.750), Te at (0.000, 0.153, 0.535), Pd at (0.000, 0.500, 0.000) and S at (0.000, 0.442, 0.750).

The uncorrected energy comes out at -3.875 eV/atom. The mass density is 6.22 Mg/m³.

# 8
Compound: Li4CuSbPd2
Source: OQMD via LeMat-Bulk
Functional: GGA-PBE
Structure: relaxed

The space group is P-4m2 (No. 115) and the conventional cell measures 4.386, 4.386 and 6.035 Å, with angles of 90.00, 90.00 and 90.00 degrees. The asymmetric unit holds Li at (0.000, 0.000, 0.000), Li at (0.000, 0.500, 0.223), Li at (0.500, 0.500, 0.500), Cu at (0.500, 0.500, 0.000), Sb at (0.000, 0.000, 0.500) and Pd at (0.000, 0.500, 0.757).

The uncorrected energy comes out at -3.674 eV/atom. The mass density is 6.09 Mg/m³.

# 9
Compound: LiCuSbPd
Source: OQMD via LeMat-Bulk
Functional: GGA-PBE
Structure: relaxed

The space group is F-43m (No. 216) and the conventional cell measures 6.309, 6.309 and 6.309 Å, with angles of 90.00, 90.00 and 90.00 degrees. The asymmetric unit holds Li at (0.000, 0.000, 0.000), Cu at (0.250, 0.250, 0.750), Sb at (0.000, 0.000, 0.500) and Pd at (0.250, 0.250, 0.250).

The uncorrected energy comes out at -4.131 eV/atom. The calculation puts the excess energy over the best structure of this formula in the dataset at 0 meV per atom. The mass density is 7.90 Mg/m³.

# 10
Compound: Li2Sc2Tl2CuPd
Source: OQMD via LeMat-Bulk
Functional: GGA-PBE
Structure: relaxed

The space group is P-4m2 (No. 115) and the conventional cell measures 4.613, 4.613 and 6.562 Å, with angles of 90.00, 90.00 and 90.00 degrees. The asymmetric unit holds Li at (0.000, 0.000, 0.000), Li at (0.500, 0.500, 0.500), Sc at (0.000, 0.500, 0.747), Tl at (0.000, 0.500, 0.240), Cu at (0.500, 0.500, 0.000) and Pd at (0.000, 0.000, 0.500).

The uncorrected energy comes out at -4.130 eV/atom. The total magnetization is 0.02 μB per formula unit. The mass density is 8.12 Mg/m³.

# 11
Compound: Li4CuSi2Pd
Source: OQMD via LeMat-Bulk
Functional: GGA-PBE
Structure: relaxed

The space group is P-4m2 (No. 115) and the conventional cell measures 4.129, 4.129 and 5.832 Å, with angles of 90.00, 90.00 and 90.00 degrees. The asymmetric unit holds Li at (0.000, 0.000, 0.000), Li at (0.000, 0.500, 0.743), Li at (0.500, 0.500, 0.500), Cu at (0.000, 0.000, 0.500), Si at (0.000, 0.500, 0.252) and Pd at (0.500, 0.500, 0.000).

The uncorrected energy comes out at -3.829 eV/atom. The mass density is 4.24 Mg/m³.

# 12
Compound: Li4Cu2SiPd
Source: OQMD via LeMat-Bulk
Functional: GGA-PBE
Structure: relaxed

The space group is P-4m2 (No. 115) and the conventional cell measures 4.177, 4.177 and 5.888 Å, with angles of 90.00, 90.00 and 90.00 degrees. The asymmetric unit holds Li at (0.000, 0.000, 0.000), Li at (0.000, 0.500, 0.249), Li at (0.500, 0.500, 0.500), Cu at (0.000, 0.500, 0.721), Si at (0.000, 0.000, 0.500) and Pd at (0.500, 0.500, 0.000).

The uncorrected energy comes out at -3.459 eV/atom. The mass density is 4.68 Mg/m³.

> uncorrected energy of number 10 (Li2Sc2Tl2CuPd)?

-4.130 eV/atom